No. 1
Pm2CuSb: relaxed, GGA-PBE.

Properties
The calculation puts the volume at 103.51 Å³/cell. The space-group type is P4/mmm (123). The excess energy over the best structure of this formula in the dataset is 0 meV per atom. The calculation puts the formation energy (no corrections) at -0.535 eV/atom.

The structure in POSCAR format:
```
Pm2CuSb
1.0
5.091 0.000 0.000
0.000 5.091 0.000
0.000 0.000 3.993
Pm Cu Sb
2 1 1
Direct
0.000 0.500 0.000
0.500 0.000 0.000
0.000 0.000 0.500
0.500 0.500 0.500
```

No. 2
Pm8CuSb2: relaxed, GGA-PBE.

Properties
The calculation puts the volume at 335.62 Å³/cell. The space-group type is C2/m (12). The calculation puts the formation energy (no corrections) at -0.390 eV/atom.

The structure in POSCAR format:
```
Pm8CuSb2
1.0
9.598 -2.421 0.000
9.598 2.421 0.000
-1.205 0.000 7.223
Pm Cu Sb
8 1 2
Direct
0.009 0.009 0.279
0.215 0.215 0.844
0.347 0.347 0.473
0.406 0.406 0.997
0.594 0.594 0.003
0.653 0.653 0.527
0.785 0.785 0.156
0.991 0.991 0.721
0.500 0.500 0.500
0.182 0.182 0.268
0.818 0.818 0.732
```

No. 3
PmScCuSb: relaxed, GGA-PBE.

Properties
The calculation puts the volume at 367.03 Å³/cell. The space-group type is F-43m (216). The calculation puts the formation energy (no corrections) at -0.436 eV/atom.

The structure in POSCAR format:
```
PmScCuSb
1.0
7.160 0.000 0.000
0.000 7.160 0.000
0.000 0.000 7.160
Pm Sc Cu Sb
4 4 4 4
Direct
0.000 0.000 0.000
0.000 0.500 0.500
0.500 0.000 0.500
0.500 0.500 0.000
0.000 0.000 0.500
0.000 0.500 0.000
0.500 0.000 0.000
0.500 0.500 0.500
0.250 0.250 0.250
0.250 0.750 0.750
0.750 0.250 0.750
0.750 0.750 0.250
0.250 0.250 0.750
0.250 0.750 0.250
0.750 0.250 0.250
0.750 0.750 0.750
```

No. 4
SrPmCu2Sb2: relaxed, GGA-PBE.

Properties
The calculation puts the volume at 149.65 Å³/cell. The space-group type is P-3m1 (164). The calculation puts the formation energy (no corrections) at -0.723 eV/atom.

The structure in POSCAR format:
```
SrPmCu2Sb2
1.0
4.459 0.000 0.000
-2.230 3.862 0.000
0.000 0.000 8.690
Sr Pm Cu Sb
1 1 2 2
Direct
0.000 0.000 0.000
0.000 0.000 0.500
0.333 0.667 0.711
0.667 0.333 0.289
0.333 0.667 0.259
0.667 0.333 0.741
```

No. 5
TbPmCuSb: relaxed, GGA-PBE.

Properties
The calculation puts the volume at 398.90 Å³/cell. The space-group type is F-43m (216). The calculation puts the formation energy (no corrections) at -0.490 eV/atom.

The structure in POSCAR format:
```
TbPmCuSb
1.0
7.361 0.000 0.000
0.000 7.361 0.000
0.000 0.000 7.361
Tb Pm Cu Sb
4 4 4 4
Direct
0.000 0.000 0.000
0.000 0.500 0.500
0.500 0.000 0.500
0.500 0.500 0.000
0.000 0.000 0.500
0.000 0.500 0.000
0.500 0.000 0.000
0.500 0.500 0.500
0.250 0.250 0.750
0.250 0.750 0.250
0.750 0.250 0.250
0.750 0.750 0.750
0.250 0.250 0.250
0.250 0.750 0.750
0.750 0.250 0.750
0.750 0.750 0.250
```

No. 6
PmThCuSb: relaxed, GGA-PBE.

Properties
The calculation puts the volume at 416.77 Å³/cell. The space-group type is F-43m (216). The calculation puts the formation energy (no corrections) at -0.383 eV/atom.

The structure in POSCAR format:
```
PmThCuSb
1.0
7.470 0.000 0.000
0.000 7.470 0.000
0.000 0.000 7.470
Pm Th Cu Sb
4 4 4 4
Direct
0.000 0.000 0.000
0.000 0.500 0.500
0.500 0.000 0.500
0.500 0.500 0.000
0.000 0.000 0.500
0.000 0.500 0.000
0.500 0.000 0.000
0.500 0.500 0.500
0.250 0.250 0.750
0.250 0.750 0.250
0.750 0.250 0.250
0.750 0.750 0.750
0.250 0.250 0.250
0.250 0.750 0.750
0.750 0.250 0.750
0.750 0.750 0.250
```

Taking the records one at a time from the top gives size of the total moment values of 0.000, 0.000, 0.000, 0.000, 0.000, 0.000 μB per atom.